(1)
First-principles (PBE-GGA) data for KZrGa3 after structural relaxation, as listed in Alexandria.

```
5
Lattice="5.134 0.000 0.000 0.000 5.134 0.000 0.000 0.000 5.134" Properties=species:S:1:pos:R:3 pbc="T T T"
K 0.000 0.000 0.000
Zr 2.567 2.567 2.567
Ga 0.000 0.000 2.567
Ga 0.000 2.567 0.000
Ga 2.567 0.000 0.000
```

Calculated values
E_form: 1273 meV/atom
V: 27.06 A^3/atom
DOS at the Fermi energy: 3.7 states/eV/cell
DFT total energy: -2.4724 eV/atom

=====

(2)
First-principles (PBE-GGA) data for Tb3Ge5 after structural relaxation, as listed in Alexandria.

```
16
Lattice="6.935 0.000 0.000 -3.467 6.006 0.000 0.000 0.000 8.386" Properties=species:S:1:pos:R:3 pbc="T T T"
Tb -1.151 1.993 0.000
Tb -1.151 1.993 4.193
Tb 2.301 0.000 0.000
Tb 2.301 0.000 4.193
Tb 2.317 4.012 0.000
Tb 2.317 4.012 4.193
Ge 0.000 0.000 2.096
Ge 0.000 0.000 6.289
Ge -1.818 4.022 2.096
Ge 0.893 2.421 2.096
Ge 0.000 4.004 6.289
Ge 1.650 1.984 6.289
Ge 0.924 5.569 2.096
Ge 3.467 2.002 2.096
Ge 4.392 0.437 6.289
Ge 4.361 3.585 6.289
```

Calculated values
E_form: -730 meV/atom
V: 21.83 A^3/atom
DOS at the Fermi energy: 2.1 states/eV/cell
DFT total energy: -5.3518 eV/atom

=====

(3)
First-principles (PBE-GGA) data for NaAcSn6 after structural relaxation, as listed in Alexandria.

```
8
Lattice="4.843 0.000 0.000 0.000 4.843 0.000 0.000 0.000 9.627" Properties=species:S:1:pos:R:3 pbc="T T T"
Na 0.000 0.000 0.000
Ac 0.000 0.000 4.814
Sn 0.000 2.422 2.276
Sn 0.000 2.422 7.351
Sn 2.422 0.000 2.276
Sn 2.422 0.000 7.351
Sn 2.422 2.422 0.000
Sn 2.422 2.422 4.814
```

Calculated values
E_form: -293 meV/atom
V: 28.23 A^3/atom
DOS at the Fermi energy: 2.8 states/eV/cell
DFT total energy: -3.9731 eV/atom

=====

(4)
First-principles (PBE-GGA) data for KPdBr after structural relaxation, as listed in Alexandria.

```
6
Lattice="4.816 0.000 0.000 0.000 4.602 0.000 -2.407 0.000 8.536" Properties=species:S:1:pos:R:3 pbc="T T T"
K 0.000 0.000 0.000
K 0.007 0.000 4.552
Pd 0.000 2.301 2.360
Pd 2.407 2.301 0.969
Br -0.006 2.301 7.024
Br 2.409 2.301 3.400
```

Calculated values
V: 31.53 A^3/atom
DOS at the Fermi energy: 0.0 states/eV/cell
ΔE_f (raw): -0.688 eV/atom
DFT total energy: -3.3422 eV/atom

=====

(5)
First-principles (PBE-GGA) data for Ba2NiPd2 after structural relaxation, as listed in Alexandria.

```
10
Lattice="7.520 0.000 0.000 0.000 7.520 0.000 0.000 0.000 4.626" Properties=species:S:1:pos:R:3 pbc="T T T"
Ba 1.343 2.417 0.000
Ba 2.417 6.176 0.000
Ba 5.103 1.343 0.000
Ba 6.176 5.103 0.000
Ni 0.000 0.000 2.313
Ni 3.760 3.760 2.313
Pd 1.005 4.765 2.313
Pd 2.755 1.005 2.313
Pd 4.765 6.515 2.313
Pd 6.515 2.755 2.313
```

Calculated values
E_form: -134 meV/atom
V: 26.16 A^3/atom
DOS at the Fermi energy: 3.4 states/eV/cell
DFT total energy: -4.1363 eV/atom

=====

(6)
First-principles (PBE-GGA) data for TbPrHoIn after structural relaxation, as listed in Alexandria.

```
4
Lattice="0.000 3.906 3.906 3.906 0.000 3.906 3.906 3.906 0.000" Properties=species:S:1:pos:R:3 pbc="T T T"
Tb 0.000 0.000 0.000
Pr 3.906 3.906 3.906
Ho 5.858 5.858 5.858
In 1.953 1.953 1.953
```

Calculated values
E_form: -143 meV/atom
V: 29.79 A^3/atom
DOS at the Fermi energy: 6.2 states/eV/cell
DFT total energy: -4.3243 eV/atom

=====

(7)
First-principles (PBE-GGA) data for SrCeAs2O8 after structural relaxation, as listed in Alexandria.

```
12
Lattice="-2.594 2.594 5.860 2.594 -2.594 5.860 2.594 2.594 -5.860" Properties=species:S:1:pos:R:3 pbc="T T T"
Sr 0.000 0.000 0.000
Ce 2.594 0.000 2.930
As 0.000 0.000 5.860
As 0.000 2.594 2.930
O 1.277 -0.662 4.895
O 1.932 1.318 0.966
O -0.792 1.311 2.083
O 1.318 3.256 -0.966
O 1.283 1.802 3.777
O 0.662 1.277 6.826
O 0.792 3.877 2.083
O -1.283 3.386 3.777
```

Calculated values
V: 13.15 A^3/atom
ΔE_f (raw): -2.154 eV/atom
DFT total energy: -6.8687 eV/atom

=====

(8)
First-principles (PBE-GGA) data for Ce2Cd2Si after structural relaxation, as listed in Alexandria.

```
5
Lattice="-1.960 1.960 8.678 1.960 -1.960 8.678 1.960 1.960 -8.678" Properties=species:S:1:pos:R:3 pbc="T T T"
Ce 0.000 0.000 1.366
Ce 0.000 0.000 15.989
Cd 1.960 0.000 4.339
Cd 0.000 1.960 4.339
Si 0.000 0.000 8.678
```

Calculated values
V: 26.68 A^3/atom
DOS at the Fermi energy: 9.0 states/eV/cell
ΔE_f (raw): -0.142 eV/atom
DFT total energy: -3.9658 eV/atom

=====

(9)
First-principles (PBE-GGA) data for MnTe3 after structural relaxation, as listed in Alexandria.

```
4
Lattice="1.820 1.051 9.204 -1.820 1.051 9.204 0.000 -2.101 9.204" Properties=species:S:1:pos:R:3 pbc="T T T"
Mn 0.000 0.000 0.000
Te 0.000 0.000 7.584
Te 0.000 0.000 13.806
Te 0.000 0.000 20.028
```

Calculated values
V: 26.40 A^3/atom
DOS at the Fermi energy: 2.2 states/eV/cell
ΔE_f (raw): 0.002 eV/atom
DFT total energy: -4.6468 eV/atom

=====

(10)
First-principles (PBE-GGA) data for AlGa2HgTe6 after structural relaxation, as listed in Alexandria.

```
20
Lattice="7.103 -7.190 0.000 7.103 7.190 0.000 -3.025 0.000 6.777" Properties=species:S:1:pos:R:3 pbc="T T T"
Al 4.834 4.766 5.083
Al 6.347 -4.766 1.694
Ga 3.517 1.195 2.065
Ga 2.004 -1.195 5.454
Ga 9.177 1.195 1.323
Ga 7.665 -1.195 4.712
Hg 6.347 4.432 1.694
Hg 4.834 -4.432 5.083
Te 1.248 0.941 0.722
Te 3.823 3.782 2.798
Te -0.264 -0.941 4.111
Te 5.502 0.861 0.298
Te 8.871 3.782 0.591
Te 3.990 -0.861 3.687
Te 7.192 0.861 3.090
Te 2.310 -3.782 6.187
Te 5.679 -0.861 6.479
Te 11.446 0.941 2.667
Te 7.358 -3.782 3.979
Te 9.933 -0.941 6.055
```

Calculated values
V: 34.62 A^3/atom
DOS at the Fermi energy: 2.3 states/eV/cell
ΔE_f (raw): -0.200 eV/atom
DFT total energy: -3.0947 eV/atom

=====

(11)
First-principles (PBE-GGA) data for Cs2KAgF after structural relaxation, as listed in Alexandria.

```
5
Lattice="6.098 0.000 0.000 0.000 6.098 0.000 0.000 0.000 5.456" Properties=species:S:1:pos:R:3 pbc="T T T"
Cs 0.000 3.049 0.000
Cs 3.049 0.000 0.000
K 0.000 0.000 2.728
Ag 3.049 3.049 2.728
F 0.000 0.000 0.000
```

Calculated values
V: 40.58 A^3/atom
DOS at the Fermi energy: 3.0 states/eV/cell
ΔE_f (raw): -0.997 eV/atom
DFT total energy: -2.5021 eV/atom

=====

(12)
First-principles (PBE-GGA) data for TaCu4Os after structural relaxation, as listed in Alexandria.

```
6
Lattice="0.000 3.383 3.383 3.383 0.000 3.383 3.383 3.383 0.000" Properties=species:S:1:pos:R:3 pbc="T T T"
Ta 0.000 0.000 0.000
Cu 4.227 2.539 2.539
Cu 2.539 4.227 2.539
Cu 2.539 2.539 4.227
Cu 4.227 4.227 4.227
Os 1.692 1.692 1.692
```

Calculated values
E_form: 32 meV/atom
V: 12.91 A^3/atom
DOS at the Fermi energy: 4.7 states/eV/cell
DFT total energy: -6.5456 eV/atom